Compound: Tb4Sm5Y
Source: Alexandria
Functional: PBE
Structure: optimized geometry

a = 8.086 Å, b = 8.086 Å, c = 8.086 Å
α = 97.96°, β = 97.96°, γ = 136.31°
Positions (direct):
Tb 0.000 0.326 0.326
Tb 0.000 0.674 0.674
Tb 0.326 0.000 0.326
Tb 0.674 0.000 0.674
Sm 0.245 0.245 0.000
Sm 0.316 0.316 0.621
Sm 0.316 0.695 0.000
Sm 0.695 0.316 0.000
Sm 0.695 0.695 0.379
Y 0.777 0.777 0.000

## Properties
Its offset from the most stable computed form is 0.49 eV/f.u. Its space group is I4mm (107).



Compound: Tb2Sm5Y5
Source: Alexandria
Functional: PBE
Structure: optimized geometry

a = 8.031 Å, b = 8.031 Å, c = 11.357 Å
α = 115.14°, β = 115.14°, γ = 36.91°
Positions (direct):
Tb 0.083 0.083 0.250
Tb 0.917 0.917 0.750
Sm 0.333 0.333 0.501
Sm 0.417 0.417 0.250
Sm 0.500 0.500 0.000
Sm 0.583 0.583 0.750
Sm 0.667 0.667 0.499
Y 0.000 0.000 0.500
Y 0.167 0.167 0.000
Y 0.251 0.251 0.751
Y 0.749 0.749 0.249
Y 0.833 0.833 0.000

## Properties
Its space group is C2/m (12).



Compound: Tb3Sm2Y7
Source: Alexandria
Functional: PBE
Structure: optimized geometry

a = 19.086 Å, b = 19.086 Å, c = 3.609 Å
α = 90.00°, β = 90.00°, γ = 162.33°
Positions (direct):
Tb 0.000 0.000 0.000
Tb 0.149 0.851 0.000
Tb 0.851 0.149 0.000
Sm 0.325 0.675 0.500
Sm 0.675 0.325 0.500
Y 0.072 0.928 0.500
Y 0.229 0.771 0.500
Y 0.411 0.589 0.000
Y 0.500 0.500 0.500
Y 0.589 0.411 0.000
Y 0.771 0.229 0.500
Y 0.928 0.072 0.500

## Properties
Its offset from the most stable computed form is 0.85 eV/f.u. Its space group is Cmmm (65).



Compound: Tb6Sm6Y
Source: Alexandria
Functional: PBE
Structure: optimized geometry

a = 6.715 Å, b = 6.715 Å, c = 11.407 Å
α = 90.00°, β = 90.00°, γ = 120.00°
Positions (direct):
Tb 0.000 0.500 0.247
Tb 0.000 0.500 0.753
Tb 0.500 0.000 0.247
Tb 0.500 0.000 0.753
Tb 0.500 0.500 0.247
Tb 0.500 0.500 0.753
Sm 0.000 0.000 0.347
Sm 0.000 0.000 0.653
Sm 0.333 0.667 0.000
Sm 0.333 0.667 0.500
Sm 0.667 0.333 0.000
Sm 0.667 0.333 0.500
Y 0.000 0.000 0.000

## Properties
Its space group is P6/mmm (191).



| no. | formation enthalpy at 0 K (eV per atom) | D(E_F) (states/eV/atom) |
| --- | --- | --- |
| 1 | 0.2637 | 1.433 |
| 2 | 0.0167 | 1.399 |
| 3 | 0.1590 | 1.766 |
| 4 | 0.2767 | 2.180 |